Below is crystalline Ti2CuGeH at its relaxed geometry, with properties calculated at the PBE-GGA level.

Computed properties:
Its density of states at the Fermi level is 3.72 states/eV/f.u. As for the space-group type: P4/mmm, No. 123. For the calculated volume, the calculation gives 12.2 Å³/atom. The total DFT energy (no corrections) is -0.438 Ry/atom.

a b c (Å): 3.9752 3.9752 3.8719
angles (deg): 90.00 90.00 90.00
Fractional coordinates of all 5 atoms:
Ti: 0.0000 0.5000 0.0000
Ti: 0.5000 0.0000 0.0000
Cu: 0.0000 0.0000 0.5000
Ge: 0.5000 0.5000 0.5000
H: 0.0000 0.0000 0.0000